[1]
Density functional theory data (GGA-PBE) for Tb6HoEr3 after structural relaxation.

For the calculated density, the calculation gives 8.5 Mg/m³. The calculation puts the energy above the most stable polymorph in this dataset at 0.23 eV/f.u.

The space group is Cmc2_1 (No. 36) and the conventional cell measures 10.941, 18.899 and 6.153 Å, with angles of 90.00, 90.00 and 90.00 degrees. Symmetry generates all atoms from Tb at (0.000, 0.046, 0.000), Tb at (0.000, 0.280, 0.726), Tb at (0.165, 0.454, 0.618), Tb at (0.243, 0.290, 0.440), Ho at (0.000, 0.205, 0.220), Er at (0.000, 0.389, 0.153) and Er at (0.169, 0.110, 0.540).

=====

[2]
Density functional theory data (GGA-PBE) for Tb8Ho4Er after structural relaxation.

For the calculated density, the calculation gives 8.4 Mg/m³. For the total energy, the calculation gives -4.394 eV/atom.

The space group is R-3m (No. 166, hexagonal axes) and the conventional cell measures 7.2172, 7.2172 and 27.5702 Å, with angles of 90.00, 90.00 and 120.00 degrees. Symmetry generates all atoms from Tb at (0.0000, 0.0000, 0.2145), Tb at (0.0333, 0.5167, 0.7660), Ho at (0.0000, 0.0000, 0.0000), Ho at (0.0000, 0.5000, 0.0000) and Er at (0.0000, 0.0000, 0.5000).

=====

[3]
Density functional theory data (GGA-PBE) for TbHo6Er12 after structural relaxation.

For the calculated density, the calculation gives 8.8 Mg/m³. The calculation puts the energy above the most stable polymorph in this dataset at 0.00 eV/f.u.

The space group is R-3 (No. 148, hexagonal axes) and the conventional cell measures 11.7340, 11.7340 and 15.0306 Å, with angles of 90.00, 90.00 and 120.00 degrees. Symmetry generates all atoms from Tb at (0.0000, 0.0000, 0.0000), Ho at (0.0094, 0.4223, 0.6782), Er at (0.0190, 0.8367, 0.1916) and Er at (0.0402, 0.8516, 0.4155).

=====

[4]
Density functional theory data (GGA-PBE) for TbHo5Er after structural relaxation.

For the calculated density, the calculation gives 8.7 Mg/m³. The calculation puts the energy above the most stable polymorph in this dataset at 0.00 eV/f.u.

The space group is C2/c (No. 15) and the conventional cell measures 11.589, 6.669 and 12.115 Å, with angles of 90.00, 110.52 and 90.00 degrees. Symmetry generates all atoms from Tb at (0.000, 0.029, 0.250), Ho at (0.000, 0.415, 0.750), Ho at (0.079, 0.265, 0.501), Ho at (0.219, 0.364, 0.245) and Er at (0.250, 0.250, 0.000).

=====

[5]
Density functional theory data (GGA-PBE) for TbHo3Er8 after structural relaxation.

For the calculated density, the calculation gives 7.5 Mg/m³. For the total energy, the calculation gives -3.841 eV/atom.

The space group is I4/mmm (No. 139) and the conventional cell measures 7.593, 7.593 and 15.210 Å, with angles of 90.00, 90.00 and 90.00 degrees. Symmetry generates all atoms from Tb at (0.000, 0.000, 0.000), Ho at (0.000, 0.000, 0.500), Ho at (0.000, 0.500, 0.250) and Er at (0.250, 0.250, 0.125).

=====

[6]
Density functional theory data (GGA-PBE) for Tb4Ho3Er4 after structural relaxation.

For the calculated density, the calculation gives 8.5 Mg/m³. The calculation puts the energy above the most stable polymorph in this dataset at 1.37 eV/f.u.

The space group is Immm (No. 71) and the conventional cell measures 3.514, 11.104 and 18.043 Å, with angles of 90.00, 90.00 and 90.00 degrees. Symmetry generates all atoms from Tb at (0.000, 0.000, 0.219), Tb at (0.000, 0.207, 0.500), Ho at (0.000, 0.000, 0.000), Ho at (0.000, 0.500, 0.109) and Er at (0.000, 0.258, 0.329).

=====

[7]
Density functional theory data (GGA-PBE) for Tb8Ho5Er after structural relaxation.

For the calculated density, the calculation gives 8.3 Mg/m³. For the total energy, the calculation gives -4.348 eV/atom.

The space group is I-4 (No. 82) and the conventional cell measures 9.517, 9.517 and 10.055 Å, with angles of 90.00, 90.00 and 90.00 degrees. Symmetry generates all atoms from Tb at (0.070, 0.325, 0.405), Tb at (0.088, 0.175, 0.747), Ho at (0.000, 0.000, 0.500), Ho at (0.110, 0.209, 0.075) and Er at (0.000, 0.500, 0.750).

=====

[8]
Density functional theory data (GGA-PBE) for Tb6HoEr after structural relaxation.

For the calculated density, the calculation gives 8.5 Mg/m³. The calculation puts the energy above the most stable polymorph in this dataset at 0.00 eV/f.u.

The space group is P4/mmm (No. 123) and the conventional cell measures 5.010, 5.010 and 10.020 Å, with angles of 90.00, 90.00 and 90.00 degrees. Symmetry generates all atoms from Tb at (0.000, 0.000, 0.000), Tb at (0.000, 0.000, 0.500), Tb at (0.000, 0.500, 0.250), Ho at (0.500, 0.500, 0.000) and Er at (0.500, 0.500, 0.500).

=====

[9]
Density functional theory data (GGA-PBE) for Tb3Ho2Er7 after structural relaxation.

For the calculated density, the calculation gives 8.8 Mg/m³. The calculation puts the energy above the most stable polymorph in this dataset at 1.07 eV/f.u.

The space group is Cmmm (No. 65) and the conventional cell measures 5.623, 37.397 and 3.551 Å, with angles of 90.00, 90.00 and 90.00 degrees. Symmetry generates all atoms from Tb at (0.000, 0.000, 0.000), Tb at (0.000, 0.185, 0.000), Ho at (0.000, 0.353, 0.500), Er at (0.000, 0.092, 0.500), Er at (0.000, 0.269, 0.500), Er at (0.000, 0.428, 0.000) and Er at (0.000, 0.500, 0.500).

=====

[10]
Density functional theory data (GGA-PBE) for Tb7Ho2Er after structural relaxation.

For the calculated density, the calculation gives 6.9 Mg/m³. The calculation puts the energy above the most stable polymorph in this dataset at 6.36 eV/f.u.

The space group is Cmmm (No. 65) and the conventional cell measures 8.671, 16.935 and 5.256 Å, with angles of 90.00, 90.00 and 90.00 degrees. Symmetry generates all atoms from Tb at (0.000, 0.000, 0.000), Tb at (0.000, 0.301, 0.500), Tb at (0.179, 0.390, 0.000), Ho at (0.000, 0.202, 0.000) and Er at (0.000, 0.500, 0.500).

=====

[11]
Density functional theory data (GGA-PBE) for Tb2Ho4Er7 after structural relaxation.

For the calculated density, the calculation gives 8.7 Mg/m³. For the total energy, the calculation gives -4.398 eV/atom.

The space group is P-31m (No. 162) and the conventional cell measures 5.9937, 5.9937 and 13.1701 Å, with angles of 90.00, 90.00 and 120.00 degrees. Symmetry generates all atoms from Tb at (0.3333, 0.6667, 0.0000), Ho at (0.0000, 0.0000, 0.3941), Ho at (0.3333, 0.6667, 0.5000), Er at (0.0000, 0.0000, 0.0000) and Er at (0.0000, 0.3527, 0.2151).

=====

[12]
Density functional theory data (GGA-PBE) for Tb8HoEr3 after structural relaxation.

For the calculated density, the calculation gives 7.2 Mg/m³. For the total energy, the calculation gives -3.888 eV/atom.

The space group is I4/mmm (No. 139) and the conventional cell measures 7.645, 7.645 and 15.287 Å, with angles of 90.00, 90.00 and 90.00 degrees. Symmetry generates all atoms from Tb at (0.250, 0.250, 0.125), Ho at (0.000, 0.000, 0.000), Er at (0.000, 0.000, 0.500) and Er at (0.000, 0.500, 0.250).